# 1
VASP calculation (GGA-PBE) on crystalline KAlSi at its relaxed geometry. Values from VASP.

Geometry as Quantum ESPRESSO input:
```
&SYSTEM
  ibrav = 0, nat = 6, ntyp = 3
/
ATOMIC_SPECIES
Al 26.98 Al.upf
K 39.10 K.upf
Si 28.09 Si.upf
CELL_PARAMETERS angstrom
18.060 0.000 -0.025
5.320 2.284 -1.683
-5.320 2.284 1.683
ATOMIC_POSITIONS angstrom
Al -1.247 2.284 0.796
K 11.212 2.284 0.203
Si 14.474 2.284 -0.448
Al 19.306 2.284 -0.821
K 6.848 2.284 -0.228
Si 3.586 2.284 0.423
```

Output
Total energy in eV/atom: -3.38
Symmetry: C2/m, No. 12
Formation energy without anion corrections in eV per atom: 0.04
DOS at the Fermi energy in states/eV per cell: 0.78
Magnetization in μB/cell: 0.0

=====

# 2
VASP calculation (GGA-PBE) on crystalline KAlSi at its relaxed geometry. Values from VASP.

Geometry as Quantum ESPRESSO input:
```
&SYSTEM
  ibrav = 0, nat = 6, ntyp = 3
/
ATOMIC_SPECIES
Al 26.98 Al.upf
K 39.10 K.upf
Si 28.09 Si.upf
CELL_PARAMETERS angstrom
-2.699 15.198 13.682
-1.479 8.621 3.938
-1.540 -7.501 -5.777
ATOMIC_POSITIONS angstrom
Al -3.275 10.474 8.013
K -2.690 5.368 3.945
Si -1.546 -3.738 -3.477
Si -2.268 2.912 1.757
Al -2.005 9.601 5.397
K -3.594 15.699 11.717
```

Output
Total energy in eV/atom: -3.31
Symmetry: Cm, No. 8
Formation energy without anion corrections in eV per atom: 0.11
DOS at the Fermi energy in states/eV per cell: 2.08
Magnetization in μB/cell: 0.0

=====

# 3
VASP calculation (GGA-PBE) on crystalline K2AlSi at its relaxed geometry. Values from VASP.

Geometry as Quantum ESPRESSO input:
```
&SYSTEM
  ibrav = 0, nat = 4, ntyp = 3
/
ATOMIC_SPECIES
Al 26.98 Al.upf
K 39.10 K.upf
Si 28.09 Si.upf
CELL_PARAMETERS angstrom
-1.430 9.991 -6.071
-4.378 9.968 -4.493
-1.687 11.266 -2.990
ATOMIC_POSITIONS angstrom
Al -5.621 23.418 -10.165
K -7.470 31.122 -13.509
K -3.772 15.714 -6.821
Si -1.874 7.806 -3.388
```

Output
Excess energy over the best structure of this formula in the dataset in meV per atom: 646
Total energy in eV/atom: -2.20
Symmetry: R-3m, No. 166
Formation energy without anion corrections in eV per atom: 0.64
DOS at the Fermi energy in states/eV per cell: 4.47
Magnetization in μB/cell: 0.1